Record 1
Entry from the Alexandria database: a geometry-optimized BeFe2Re structure (PBE).

Computed properties:
N(E_F) (states/eV/cell): 9.35
VASP energy (eV per atom): -7.6787
Energy of formation from the pure elements (eV/atom): 0.596
Density (g/cm3): 11.304

The structure in POSCAR format:
```
BeFe2Re
1.0
6.2144 0.0000 0.0000
0.0000 6.2144 0.0000
3.1072 3.1072 2.3349
Fe Re Be
4 2 2
direct
0.8750 0.8095 0.7500 Fe
0.3750 0.4405 0.7500 Fe
0.1905 0.6250 0.2500 Fe
0.5595 0.1250 0.2500 Fe
0.7500 0.2500 0.5000 Re
0.0000 0.0000 0.0000 Re
0.5000 0.5000 0.0000 Be
0.2500 0.7500 0.5000 Be
```

***

Record 2
Entry from the Alexandria database: a geometry-optimized AsPb2W structure (PBE).

Computed properties:
N(E_F) (states/eV/cell): 3.07
VASP energy (eV per atom): -5.3157
Energy of formation from the pure elements (eV/atom): 0.939
Density (g/cm3): 12.233

The structure in POSCAR format:
```
AsPb2W
1.0
3.0343 0.0000 0.0000
0.0000 5.4877 0.0000
0.0000 0.0000 5.4877
W Pb As
1 2 1
direct
0.5000 0.5000 0.0000 W
0.0000 0.5000 0.5000 Pb
0.0000 0.0000 0.0000 Pb
0.5000 0.0000 0.5000 As
```

***

Record 3
Entry from the Alexandria database: a geometry-optimized Tl2TcHO4 structure (PBE).

Computed properties:
N(E_F) (states/eV/cell): 7.57
VASP energy (eV per atom): -5.4718
Density (g/cm3): 6.774

The structure in POSCAR format:
```
Tl2TcHO4
1.0
4.7439 0.0000 0.0000
2.3719 6.1543 0.0000
2.3719 0.0000 9.6011
H Tl O Tc
2 4 8 2
direct
0.0000 0.0000 0.0000 H
0.7500 0.5000 0.5000 H
0.8320 0.0000 0.3360 Tl
0.5820 0.5000 0.8360 Tl
0.1680 0.0000 0.6640 Tl
0.9180 0.5000 0.1640 Tl
0.8934 0.8550 0.9023 O
0.5457 0.3550 0.5977 O
0.6507 0.1450 0.0977 O
0.4984 0.6450 0.4023 O
0.2043 0.1450 0.9023 O
0.0993 0.3550 0.4023 O
0.2516 0.8550 0.0977 O
0.8566 0.6450 0.5977 O
0.5000 0.0000 0.0000 Tc
0.2500 0.5000 0.5000 Tc
```

***

Record 4
Entry from the Alexandria database: a geometry-optimized FeTeSN2 structure (PBE).

Computed properties:
N(E_F) (states/eV/cell): 6.96
VASP energy (eV per atom): -4.9423
Density (g/cm3): 4.879
ΔE to the lowest computed polymorph (meV per atom): 694

The structure in POSCAR format:
```
FeTeSN2
1.0
3.8940 0.0000 0.0000
0.0000 3.8940 0.0000
0.0000 0.0000 5.4654
Te Fe N S
1 1 2 1
direct
0.0000 0.0000 0.0000 Te
0.5000 0.5000 0.5000 Fe
0.0000 0.5000 0.0000 N
0.5000 0.0000 0.0000 N
0.0000 0.0000 0.5000 S
```

***

Record 5
Entry from the Alexandria database: a geometry-optimized Pa2PtAu structure (PBE).

Computed properties:
N(E_F) (states/eV/cell): 7.22
VASP energy (eV per atom): -7.6154
Energy of formation from the pure elements (eV/atom): -0.538
Density (g/cm3): 16.377
ΔE to the lowest computed polymorph (meV per atom): 0

The structure in POSCAR format:
```
Pa2PtAu
1.0
3.1973 0.0000 0.0000
0.0000 3.1973 0.0000
0.0000 0.0000 8.4716
Au Pa Pt
1 2 1
direct
0.5000 0.5000 0.5000 Au
0.0000 0.0000 0.7627 Pa
0.0000 0.0000 0.2373 Pa
0.5000 0.5000 0.0000 Pt
```

***

Record 6
Entry from the Alexandria database: a geometry-optimized Ag2Os2Br structure (PBE).

Computed properties:
N(E_F) (states/eV/cell): 3.78
VASP energy (eV per atom): -4.5368
Density (g/cm3): 11.777
ΔE to the lowest computed polymorph (meV per atom): 394

The structure in POSCAR format:
```
Ag2Os2Br
1.0
-2.4586 -1.8888 2.3691
2.9614 -2.1430 1.3648
1.2792 2.2493 6.3339
Os Br Ag
2 1 2
direct
0.4081 0.4081 0.1838 Os
0.5919 0.5919 0.8162 Os
0.0000 0.0000 0.0000 Br
0.7500 0.2500 0.5000 Ag
0.2500 0.7500 0.5000 Ag
```